Below is a geometry-optimized LiHfPdRu structure, with properties calculated at the GGA-PBE level.

Calculated values
The value obtained for the volume is 15.46 A^3/atom. The energy relative to the elements is -446 meV/atom. The calculated total energy comes out at -7.030 eV per atom. Its total moment is 0.0 μB per formula unit.

Geometry as POSCAR:
```
LiHfPdRu
1.0
-0.5041 4.3965 0.3469
-0.6696 1.8502 3.9790
3.1881 2.4590 1.8691
Ru Hf Pd Li
1 1 1 1
direct
0.7500 0.7500 0.7500
0.0000 0.0000 0.0000
0.2500 0.2500 0.2500
0.5000 0.5000 0.5000
```

***

Below is a geometry-optimized Li4Hf3PdS8 structure, with properties calculated at the GGA-PBE level.

Calculated values
The value obtained for the volume is 17.68 A^3/atom. The calculated total energy comes out at -6.051 eV per atom. Its total moment is 0.7 μB per formula unit. For the formation energy from raw total energies, the calculation gives -1.32 eV per atom.

Geometry as POSCAR:
```
Li4Hf3PdS8
1.0
7.2015 0.0000 0.0000
0.0000 7.4192 0.0771
-3.6008 -3.6464 5.2565
Li Hf Pd S
4 3 1 8
direct
0.5000 0.0000 0.0000
0.5000 0.0000 0.5000
0.0000 0.0000 0.0000
0.0000 0.0000 0.5000
0.5000 0.5000 0.0000
0.5000 0.5000 0.5000
0.0000 0.5000 0.5000
0.0000 0.5000 0.0000
0.2423 0.7367 0.9870
0.2641 0.7555 0.5282
0.2548 0.2559 0.5096
0.7447 0.7367 0.9870
0.2553 0.2633 0.0130
0.7452 0.7441 0.4904
0.7359 0.2445 0.4718
0.7577 0.2633 0.0130
```

***

Below is a geometry-optimized LiHfScPd structure, with properties calculated at the GGA-PBE level.

Calculated values
The value obtained for the volume is 18.28 A^3/atom. The energy relative to the elements is -273 meV/atom. The calculated total energy comes out at -6.121 eV per atom. Its total moment is 0.0 μB per formula unit.

Geometry as POSCAR:
```
LiHfScPd
1.0
4.6940 0.0000 0.0000
2.3470 4.0652 0.0000
2.3470 1.3551 3.8327
Sc Hf Pd Li
1 1 1 1
direct
0.2500 0.2500 0.2500
0.7500 0.7500 0.7500
0.5000 0.5000 0.5000
0.0000 0.0000 0.0000
```

***

Below is a geometry-optimized LiHfSiPd structure, with properties calculated at the GGA-PBE level.

Calculated values
The value obtained for the volume is 16.04 A^3/atom. The calculated total energy comes out at -6.142 eV per atom. Its total moment is 0.0 μB per formula unit. For the formation energy from raw total energies, the calculation gives -0.52 eV per atom.

Geometry as POSCAR:
```
LiHfSiPd
1.0
4.4932 0.0000 0.0000
2.2466 3.8913 0.0000
2.2466 1.2971 3.6687
Si Hf Pd Li
1 1 1 1
direct
0.7500 0.7500 0.7500
0.0000 0.0000 0.0000
0.2500 0.2500 0.2500
0.5000 0.5000 0.5000
```

***

Below is a geometry-optimized SrLi2HfPd structure, with properties calculated at the GGA-PBE level.

Calculated values
The value obtained for the volume is 28.01 A^3/atom. The energy relative to the elements is 472 meV/atom. The calculated total energy comes out at -3.659 eV per atom. Its total moment is 0.5 μB per formula unit.

Geometry as POSCAR:
```
SrLi2HfPd
1.0
5.3396 0.0000 0.0000
0.0000 4.9127 0.0000
0.0000 0.0000 5.3396
Sr Hf Pd Li
1 1 1 2
direct
0.5000 0.5000 0.5000
0.0000 0.0000 0.0000
0.0000 0.5000 0.0000
0.0000 0.0000 0.5000
0.5000 0.0000 0.0000
```

***

Below is a geometry-optimized LiHfTa2Pd structure, with properties calculated at the GGA-PBE level.

Calculated values
The value obtained for the volume is 22.13 A^3/atom. The energy relative to the elements is 1688 meV/atom. The calculated total energy comes out at -6.465 eV per atom. Its total moment is 0.0 μB per formula unit.

Geometry as POSCAR:
```
LiHfTa2Pd
1.0
-2.8480 -3.8342 1.0576
1.1459 -1.9619 -4.0268
3.7881 -2.2183 2.1587
Li Hf Pd Ta
1 1 1 2
direct
0.0000 0.5000 0.0000
0.0000 0.0000 0.0000
0.5000 0.5000 0.5000
0.0000 0.0000 0.5000
0.5000 0.0000 0.0000
```

***

Below is a geometry-optimized LiHfV2Pd structure, with properties calculated at the GGA-PBE level.

Calculated values
The value obtained for the volume is 22.84 A^3/atom. The energy relative to the elements is 1258 meV/atom. The calculated total energy comes out at -5.802 eV per atom. Its total moment is 4.0 μB per formula unit.

Geometry as POSCAR:
```
LiHfV2Pd
1.0
-3.5863 -1.7136 2.7403
3.1937 -2.8236 2.4141
0.7350 3.5537 3.1841
Li Hf Pd V
1 1 1 2
direct
0.5000 0.5000 0.5000
0.0000 0.0000 0.0000
0.0000 0.5000 0.0000
0.0000 0.0000 0.5000
0.5000 0.0000 0.0000
```

***

Below is a geometry-optimized LiHfZnPd structure, with properties calculated at the GGA-PBE level.

Calculated values
The value obtained for the volume is 16.40 A^3/atom. The energy relative to the elements is -337 meV/atom. The calculated total energy comes out at -4.921 eV per atom. Its total moment is 0.0 μB per formula unit.

Geometry as POSCAR:
```
LiHfZnPd
1.0
4.5267 0.0000 0.0000
2.2634 3.9202 0.0000
2.2634 1.3067 3.6960
Zn Hf Pd Li
1 1 1 1
direct
0.0000 0.0000 0.0000
0.7500 0.7500 0.7500
0.5000 0.5000 0.5000
0.2500 0.2500 0.2500
```

***

Below is a geometry-optimized LiPmHfRe structure, with properties calculated at the GGA-PBE level.

Calculated values
The value obtained for the volume is 19.88 A^3/atom. The energy relative to the elements is 52 meV/atom. The calculated total energy comes out at -7.215 eV per atom. Its total moment is 0.0 μB per formula unit.

Geometry as POSCAR:
```
LiPmHfRe
1.0
-2.6902 2.4117 -3.2007
-2.3845 -2.3993 -3.4432
-4.8136 -0.3144 0.1694
Re Li Hf Pm
1 1 1 1
direct
0.2500 0.2500 0.2500
0.7500 0.7500 0.7500
0.0000 0.0000 0.0000
0.5000 0.5000 0.5000
```

***

Below is a geometry-optimized LiPmHfRu structure, with properties calculated at the GGA-PBE level.

Calculated values
The value obtained for the volume is 19.83 A^3/atom. The energy relative to the elements is -157 meV/atom. The calculated total energy comes out at -6.630 eV per atom. Its total moment is 0.0 μB per formula unit.

Geometry as POSCAR:
```
LiPmHfRu
1.0
-0.5744 4.5582 -1.4674
-4.1913 1.4016 -1.9310
-2.9071 2.9721 2.4445
Ru Li Hf Pm
1 1 1 1
direct
0.7500 0.7500 0.7500
0.2500 0.2500 0.2500
0.0000 0.0000 0.0000
0.5000 0.5000 0.5000
```

***

Below is a geometry-optimized LiPm2HfS4 structure, with properties calculated at the GGA-PBE level.

Calculated values
The value obtained for the volume is 20.16 A^3/atom. The calculated total energy comes out at -6.456 eV per atom. Its total moment is 0.0 μB per formula unit. For the formation energy from raw total energies, the calculation gives -1.72 eV per atom.

Geometry as POSCAR:
```
LiPm2HfS4
1.0
3.8497 0.0000 0.0000
0.0000 6.6975 0.1570
0.0000 -2.3022 6.1997
Li Pm Hf S
1 2 1 4
direct
0.0000 0.0000 0.0000
0.5000 0.0000 0.5000
0.0000 0.5000 0.5000
0.5000 0.5000 0.0000
0.5000 0.2442 0.2222
0.5000 0.7558 0.7778
0.0000 0.2585 0.7818
0.0000 0.7415 0.2182
```

***

Below is a geometry-optimized Li3Pm2HfS6 structure, with properties calculated at the GGA-PBE level.

Calculated values
The value obtained for the volume is 20.27 A^3/atom. The calculated total energy comes out at -5.842 eV per atom. Its total moment is 0.0 μB per formula unit. For the formation energy from raw total energies, the calculation gives -1.68 eV per atom.

Geometry as POSCAR:
```
Li3Pm2HfS6
1.0
6.7394 -0.0135 0.0118
-3.3797 5.8307 0.0118
-1.1106 -1.9231 6.1881
Li Pm Hf S
3 2 1 6
direct
0.1535 0.8465 0.5000
0.8465 0.1535 0.5000
0.5000 0.5000 0.5000
0.3318 0.6682 0.0000
0.6682 0.3318 0.0000
0.0000 0.0000 0.0000
0.9157 0.6086 0.7453
0.7710 0.7710 0.2481
0.0843 0.3914 0.2547
0.6086 0.9157 0.7453
0.2290 0.2290 0.7519
0.3914 0.0843 0.2547
```

***

Below is a geometry-optimized Li2PmHfS4 structure, with properties calculated at the GGA-PBE level.

Calculated values
The value obtained for the volume is 19.42 A^3/atom. The calculated total energy comes out at -5.993 eV per atom. Its total moment is 0.0 μB per formula unit. For the formation energy from raw total energies, the calculation gives -1.61 eV per atom.

Geometry as POSCAR:
```
Li2PmHfS4
1.0
3.7746 0.0000 0.0000
0.0000 6.6252 0.1321
0.0000 -2.2933 6.1653
Li Pm Hf S
2 1 1 4
direct
0.5000 0.0000 0.5000
0.0000 0.5000 0.5000
0.0000 0.0000 0.0000
0.5000 0.5000 0.0000
0.5000 0.2754 0.2574
0.5000 0.7246 0.7426
0.0000 0.2707 0.7534
0.0000 0.7293 0.2466
```

***

Below is a geometry-optimized Li4Pm3HfS8 structure, with properties calculated at the GGA-PBE level.

Calculated values
The value obtained for the volume is 20.58 A^3/atom. The calculated total energy comes out at -5.753 eV per atom. Its total moment is 0.0 μB per formula unit. For the formation energy from raw total energies, the calculation gives -1.70 eV per atom.

Geometry as POSCAR:
```
Li4Pm3HfS8
1.0
7.8231 0.0000 0.0000
0.0000 7.6748 -0.1104
-3.9115 -3.9051 5.5392
Li Pm Hf S
4 3 1 8
direct
0.5000 0.0000 0.0000
0.5000 0.0000 0.5000
0.0000 0.0000 0.0000
0.0000 0.0000 0.5000
0.5000 0.5000 0.0000
0.5000 0.5000 0.5000
0.0000 0.5000 0.5000
0.0000 0.5000 0.0000
0.2383 0.7504 0.0117
0.2383 0.7504 0.4766
0.2454 0.2359 0.4908
0.7734 0.7504 0.0117
0.2266 0.2496 0.9883
0.7546 0.7641 0.5092
0.7617 0.2496 0.5234
0.7617 0.2496 0.9883
```

***

Below is a geometry-optimized LiPmHfTc structure, with properties calculated at the GGA-PBE level.

Calculated values
The value obtained for the volume is 19.88 A^3/atom. The energy relative to the elements is -15 meV/atom. The calculated total energy comes out at -6.761 eV per atom. Its total moment is 0.0 μB per formula unit.

Geometry as POSCAR:
```
LiPmHfTc
1.0
-0.3141 -4.4384 -1.8718
2.8331 -3.5316 1.6742
-1.9027 -3.5897 2.6068
Li Hf Tc Pm
1 1 1 1
direct
0.0000 0.0000 0.0000
0.2500 0.2500 0.2500
0.5000 0.5000 0.5000
0.7500 0.7500 0.7500
```

***

Below is a geometry-optimized LiPrHf structure, with properties calculated at the GGA-PBE level.

Calculated values
The value obtained for the volume is 27.09 A^3/atom. The energy relative to the elements is 314 meV/atom. The calculated total energy comes out at -5.235 eV per atom. Its total moment is 0.0 μB per formula unit.

Geometry as POSCAR:
```
LiPrHf
1.0
5.1899 1.1557 0.3733
3.5938 3.9185 0.3733
3.5117 2.0287 10.3413
Hf Pr Li
2 2 2
direct
0.7677 0.7677 0.0876
0.9854 0.9854 0.2197
0.6221 0.6221 0.4042
0.1311 0.1311 0.9032
0.2838 0.2838 0.5679
0.4694 0.4694 0.7395
```

***

Below is a geometry-optimized Li3Pr2HfS6 structure, with properties calculated at the GGA-PBE level.

Calculated values
The value obtained for the volume is 20.91 A^3/atom. The calculated total energy comes out at -5.823 eV per atom. Its total moment is 0.0 μB per formula unit. For the formation energy from raw total energies, the calculation gives -1.65 eV per atom.

Geometry as POSCAR:
```
Li3Pr2HfS6
1.0
6.8516 -0.0360 0.0313
-3.4553 5.9166 0.0313
-1.1055 -1.9141 6.1888
Li Pr Hf S
3 2 1 6
direct
0.1436 0.8564 0.5000
0.8564 0.1436 0.5000
0.5000 0.5000 0.5000
0.3309 0.6691 0.0000
0.6691 0.3309 0.0000
0.0000 0.0000 0.0000
0.9176 0.6164 0.7448
0.7706 0.7706 0.2471
0.0824 0.3836 0.2552
0.6164 0.9176 0.7448
0.2294 0.2294 0.7529
0.3836 0.0824 0.2552
```

***

Below is a geometry-optimized LiPr2HfS5 structure, with properties calculated at the GGA-PBE level.

Calculated values
The value obtained for the volume is 21.00 A^3/atom. The calculated total energy comes out at -6.447 eV per atom. Its total moment is 0.0 μB per formula unit. For the formation energy from raw total energies, the calculation gives -1.77 eV per atom.

Geometry as POSCAR:
```
LiPr2HfS5
1.0
3.8816 0.0000 0.0000
-1.9408 8.2697 0.0000
0.0000 0.0000 11.7762
Li Pr Hf S
2 4 2 10
direct
0.5487 0.0975 0.9543
0.4513 0.9025 0.4543
0.8695 0.7390 0.8056
0.1086 0.2173 0.6884
0.1305 0.2610 0.3056
0.8914 0.7827 0.1884
0.8027 0.6054 0.5141
0.1973 0.3946 0.0141
0.3549 0.7098 0.0022
0.6904 0.3809 0.8639
0.4953 0.9905 0.7753
0.2842 0.5685 0.6624
0.9459 0.8918 0.5578
0.6451 0.2902 0.5022
0.3096 0.6191 0.3639
0.5047 0.0095 0.2753
0.7158 0.4315 0.1624
0.0541 0.1082 0.0578
```

***

Below is a geometry-optimized LiPrHfS4 structure, with properties calculated at the GGA-PBE level.

Calculated values
The value obtained for the volume is 24.85 A^3/atom. The calculated total energy comes out at -6.417 eV per atom. Its total moment is 0.0 μB per formula unit. For the formation energy from raw total energies, the calculation gives -1.68 eV per atom.

Geometry as POSCAR:
```
LiPrHfS4
1.0
7.5328 0.0000 0.0000
3.7664 6.9645 0.0035
3.7664 2.1250 6.6324
Li Pr Hf S
2 2 2 8
direct
0.6193 0.6307 0.1307
0.3807 0.3693 0.8693
0.0000 0.0000 0.0000
0.0000 0.5000 0.5000
0.5000 0.0000 0.5000
0.0000 0.0000 0.5000
0.7469 0.7864 0.7199
0.2531 0.7801 0.7136
0.7469 0.2199 0.2864
0.2531 0.2136 0.2801
0.2315 0.7736 0.2736
0.7212 0.7736 0.2736
0.2788 0.2264 0.7264
0.7685 0.2264 0.7264
```

***

Below is a geometry-optimized Li3Pr3HfSe8 structure, with properties calculated at the GGA-PBE level.

Calculated values
The value obtained for the volume is 26.23 A^3/atom. The calculated total energy comes out at -5.448 eV per atom. Its total moment is 0.0 μB per formula unit. For the formation energy from raw total energies, the calculation gives -1.59 eV per atom.

Geometry as POSCAR:
```
Li3Pr3HfSe8
1.0
-1.3917 -7.5235 -3.3704
5.6426 5.1334 -3.4193
1.3204 -3.4694 7.1994
Li Pr Hf Se
3 3 1 8
direct
0.0000 0.0000 0.0000
0.0000 0.5000 0.0000
0.5000 0.5000 0.0000
0.5000 0.0000 0.5000
0.5000 0.5000 0.5000
0.0000 0.5000 0.5000
0.0000 0.0000 0.5000
0.2456 0.4911 0.2370
0.7544 0.5089 0.7630
0.7660 0.5320 0.2544
0.2340 0.4680 0.7456
0.7660 0.9882 0.2545
0.2340 0.0118 0.7455
0.2222 0.9882 0.2545
0.7778 0.0118 0.7455
```